NiMo2Ir at its PBEsol-relaxed geometry. Source: the Alexandria database, functional SCAN.

Computed properties:
The total energy comes out at -315.371 eV for the cell shown. The theoretical density is 13.37 Mg/m³. Its space group is Cmmm.

Cell lengths 5.2890, 7.7340, 2.6884 Å; angles 90.00, 90.00, 90.00 degrees
With the nearest neighbours (Å) after each atom.
Fractional positions:
Ni 0.0000 0.0000 0.0000  2 Ir 2.64, 2 Ni 2.69, 8 Mo 2.70
Ni 0.5000 0.5000 0.0000  2 Ir 2.64, 2 Ni 2.69, 8 Mo 2.70
Mo 0.2500 0.2500 0.5000  4 Mo 2.64-2.69, 4 Ni 2.70, 4 Ir 2.70
Mo 0.2500 0.7500 0.5000  4 Mo 2.64-2.69, 4 Ni 2.70, 4 Ir 2.70
Mo 0.7500 0.2500 0.5000  4 Mo 2.64-2.69, 4 Ni 2.70, 4 Ir 2.70
Mo 0.7500 0.7500 0.5000  4 Mo 2.64-2.69, 4 Ni 2.70, 4 Ir 2.70
Ir 0.0000 0.5000 0.0000  2 Ni 2.64, 2 Ir 2.69, 8 Mo 2.70
Ir 0.5000 0.0000 0.0000  2 Ni 2.64, 2 Ir 2.69, 8 Mo 2.70